Arrangement one

This record from Alexandria describes TlSnBi2 after structural relaxation. The functional is PBE.

M_tot in μB/cell: 0.000
V in Å³ per cell: 261

Cell lengths 3.3757, 4.2956, 18.0790 Å; angles 90.00, 95.36, 90.00 degrees
Closest atoms and distances in Å follow each position.
Positions (direct):
Bi  0.1605  0.7500  0.3211  2 Sn 3.13, 2 Bi 3.38
Bi  0.0308  0.7500  0.0617  4 Bi 3.09-3.38
Bi  0.8395  0.2500  0.6789  2 Sn 3.13, 2 Bi 3.38
Bi  0.9692  0.2500  0.9383  4 Bi 3.09-3.38
Sn  0.2239  0.2500  0.4478  2 Bi 3.13, 6 Sn 3.32-3.38
Sn  0.7761  0.7500  0.5522  2 Bi 3.13, 6 Sn 3.32-3.38
Tl  0.5988  0.2500  0.1977  2 Tl 3.38, 8 Bi 3.52-3.67
Tl  0.4012  0.7500  0.8023  2 Tl 3.38, 8 Bi 3.52-3.67


Arrangement two

This record from Alexandria describes TlSnBi2 after structural relaxation. The functional is PBE.

M_tot in μB/cell: 0.000
V in Å³ per cell: 127

Cell lengths 3.3449, 6.5924, 6.5924 Å; angles 119.48, 90.00, 90.00 degrees
Closest atoms and distances in Å follow each position.
Positions (direct):
Tl  0.0000  0.9453  0.0547  2 Tl 3.34, 8 Bi 3.69-3.70, 4 Sn 3.72
Bi  0.5000  0.9446  0.5547  2 Sn 3.29-3.30, 4 Bi 3.32-3.34
Bi  0.5000  0.4453  0.0554  2 Sn 3.29-3.30, 4 Bi 3.32-3.34
Sn  0.5000  0.4447  0.5553  4 Bi 3.29-3.30, 2 Sn 3.34


Going by the energies, arrangement one is most stable and the next is 0.5 kJ/mol of atoms up.


Arrangement one

This record from Alexandria describes TlSnBi2 after structural relaxation. The functional is PBE.

M_tot in μB/cell: 0.000
V in Å³ per cell: 133

Cell lengths 4.3063, 4.3063, 8.6315 Å; angles 75.55, 75.55, 60.00 degrees
Closest atoms and distances in Å follow each position.
Positions (direct):
Bi  0.7426  0.7426  0.7723  3 Sn 3.12, 3 Tl 3.35
Bi  0.2574  0.2574  0.2277  3 Sn 3.12, 3 Tl 3.35
Sn  0.0000  0.0000  0.0000  6 Bi 3.12
Tl  0.5000  0.5000  0.5000  6 Bi 3.35


Arrangement two

This record from Alexandria describes TlSnBi2 after structural relaxation. The functional is PBE.

M_tot in μB/cell: 0.000
V in Å³ per cell: 122

Cell lengths 5.5646, 5.5646, 5.5646 Å; angles 60.00, 60.00, 60.00 degrees
Closest atoms and distances in Å follow each position.
Positions (direct):
Bi  0.7500  0.7500  0.7500  4 Tl 3.41, 4 Sn 3.41
Bi  0.2500  0.2500  0.2500  4 Tl 3.41, 4 Sn 3.41
Sn  0.0000  0.0000  0.0000  8 Bi 3.41
Tl  0.5000  0.5000  0.5000  8 Bi 3.41


Going by the energies, arrangement two is most stable and the next is 1.4 kJ/mol of atoms up.